# 1
Material: Co2TeIr
Method: DFT, PBE
State: relaxed

Computed properties:
Raw total energy (eV/atom): -6.289
DOS at the Fermi energy (states/eV per atom): 0.73
Energy relative to the elements, uncorrected (eV per atom): 0.26

The structure in CIF format:
```
data_Co2TeIr
_chemical_formula_sum 'Co2 Te1 Ir1'
_space_group_name_H-M_alt 'P 4/m m m'
_space_group_IT_number 123
_space_group_name_Hall '-P 4 2'
_cell_length_a 3.893
_cell_length_b 3.893
_cell_length_c 3.684
_cell_angle_alpha 90.00
_cell_angle_beta 90.00
_cell_angle_gamma 90.00
loop_
_atom_site_label
_atom_site_type_symbol
_atom_site_fract_x
_atom_site_fract_y
_atom_site_fract_z
Co1 Co 0.000 0.500 0.000
Te1 Te 0.000 0.000 0.500
Ir1 Ir 0.500 0.500 0.500
```

***

# 2
Material: Co2TeIr
Method: DFT, PBE
State: relaxed

Computed properties:
Raw total energy (eV/atom): -6.181
DOS at the Fermi energy (states/eV per atom): 1.32
Energy relative to the elements, uncorrected (eV per atom): 0.37

The structure in CIF format:
```
data_Co2TeIr
_chemical_formula_sum 'Co2 Te1 Ir1'
_space_group_name_H-M_alt 'P m m m'
_space_group_IT_number 47
_cell_length_a 2.919
_cell_length_b 3.629
_cell_length_c 5.533
_cell_angle_alpha 90.00
_cell_angle_beta 90.00
_cell_angle_gamma 90.00
loop_
_space_group_symop_operation_xyz
'x,y,z'
'-x,-y,-z'
'-x,-y,z'
'x,y,-z'
'x,-y,-z'
'-x,y,z'
'-x,y,-z'
'x,-y,z'
loop_
_atom_site_label
_atom_site_type_symbol
_atom_site_fract_x
_atom_site_fract_y
_atom_site_fract_z
Co1 Co 0.000 0.000 0.227
Te1 Te 0.500 0.500 0.500
Ir1 Ir 0.500 0.500 0.000
```

***

| no. | mass density (g cm⁻³) |
| --- | --- |
| 1 | 13.02 |
| 2 | 12.40 |